1.
KBr3O (PBE, relaxed); E above lowest polymorph = 708 meV per atom; space group = Pm-3m; DFT total energy = -1.7845 eV/atom
1.0
6.354 0.000 0.000
0.000 6.354 0.000
0.000 0.000 6.354
K Br O
1 3 1
Cartesian
0.000 0.000 0.000
0.000 0.000 3.177
0.000 3.177 0.000
3.177 0.000 0.000
3.177 3.177 3.177



2.
K2Br2O7 (PBE, relaxed); space group = C2/m; DFT total energy = -4.0520 eV/atom
1.0
4.316 -5.070 0.000
4.316 5.070 0.000
-1.021 0.000 5.140
K Br O
2 2 7
Cartesian
4.316 2.985 0.000
4.316 -2.985 0.000
1.825 0.000 2.987
5.787 0.000 2.153
1.422 1.353 3.887
0.856 0.000 1.628
1.422 -1.353 3.887
3.806 0.000 2.570
6.191 1.353 1.253
6.756 0.000 3.512
6.191 -1.353 1.253



3.
K7BrO12 (PBE, relaxed); space group = R-3; DFT total energy = -4.3529 eV/atom
1.0
7.033 4.060 2.172
-7.033 4.060 2.172
0.000 -8.120 2.172
K Br O
7 1 12
Cartesian
0.000 0.000 0.000
-1.046 -2.940 2.153
-2.023 2.376 2.153
-3.069 -0.564 4.363
3.069 0.564 2.153
2.023 -2.376 4.363
1.046 2.940 4.363
0.000 0.000 3.258
-3.826 -3.042 2.919
-5.647 1.597 2.826
-4.206 -4.092 3.690
-4.548 1.792 3.597
1.441 -5.689 2.826
0.722 -4.835 3.597
-0.722 4.835 2.919
-1.441 5.689 3.690
4.548 -1.792 2.919
4.206 4.092 2.826
5.647 -1.597 3.690
3.826 3.042 3.597



4.
K2BrO (PBE, relaxed); E above lowest polymorph = 0 meV per atom; space group = I-42d; DFT total energy = -3.3361 eV/atom
1.0
7.869 0.000 0.000
0.000 7.869 0.000
0.000 0.000 8.178
K Br O
8 4 4
Cartesian
1.482 1.967 1.022
1.967 5.416 3.067
1.967 6.387 7.156
2.452 1.967 5.111
5.416 5.902 5.111
5.902 1.482 7.156
5.902 2.452 3.067
6.387 5.902 1.022
0.000 0.000 4.089
0.000 3.934 6.134
3.934 0.000 2.045
3.934 3.934 0.000
0.000 0.000 0.000
0.000 3.934 2.045
3.934 0.000 6.134
3.934 3.934 4.089



5.
K8Br2O3 (PBE, relaxed); space group = C2/m; DFT total energy = -3.3286 eV/atom
1.0
7.869 -4.160 0.000
7.869 4.160 0.000
-2.359 0.000 6.617
K Br O
8 2 3
Cartesian
0.426 0.000 2.643
6.104 2.392 0.786
7.275 2.392 5.831
5.042 0.000 3.502
8.336 0.000 3.115
6.104 -2.392 0.786
7.275 -2.392 5.831
12.953 0.000 3.974
2.371 0.000 5.533
11.007 0.000 1.084
0.000 0.000 0.000
6.689 2.011 3.309
6.689 -2.011 3.309



6.
K12Br3O4 (PBE, relaxed); space group = Im-3; DFT total energy = -3.2002 eV/atom
1.0
-5.309 5.309 5.309
5.309 -5.309 5.309
5.309 5.309 -5.309
K Br O
12 3 4
Cartesian
5.309 -2.457 2.802
2.851 2.507 0.000
7.766 2.507 0.000
2.802 5.309 -2.457
2.507 0.000 2.851
5.309 2.457 2.802
0.000 2.851 2.507
2.802 5.309 2.457
2.507 0.000 7.766
-2.457 2.802 5.309
2.457 2.802 5.309
0.000 7.766 2.507
5.309 0.000 0.000
0.000 5.309 0.000
0.000 0.000 5.309
2.654 2.654 -2.654
2.654 -2.654 2.654
-2.654 2.654 2.654
2.654 2.654 2.654



7.
K2BrO5 (PBE, relaxed); space group = I4mm; DFT total energy = -4.0345 eV/atom
1.0
6.163 0.000 0.000
0.000 6.163 0.000
0.000 0.000 8.050
K Br O
4 2 10
Cartesian
0.000 3.082 0.000
0.000 3.082 4.025
3.082 0.000 0.000
3.082 0.000 4.025
0.000 0.000 1.774
3.082 3.082 5.799
0.000 0.000 0.106
1.201 1.201 2.197
1.201 4.962 2.197
1.880 1.880 6.222
1.880 4.283 6.222
3.082 3.082 4.131
4.283 1.880 6.222
4.283 4.283 6.222
4.962 1.201 2.197
4.962 4.962 2.197



8.
K11BrO5 (PBE, relaxed); space group = C2/m; DFT total energy = -3.3019 eV/atom
1.0
5.186 -6.330 0.000
5.186 6.330 0.000
-2.602 0.000 6.985
K Br O
11 1 5
Cartesian
0.000 0.000 0.000
3.860 3.486 1.147
1.702 1.671 3.832
3.909 3.486 5.838
2.904 0.000 1.209
1.702 -1.671 3.832
6.067 1.671 3.152
4.865 0.000 5.775
3.860 -3.486 1.147
6.067 -1.671 3.152
3.909 -3.486 5.838
-1.301 0.000 3.492
1.396 2.323 1.383
1.396 -2.323 1.383
3.885 0.000 3.492
6.374 2.323 5.601
6.374 -2.323 5.601



Please write out number 5 again, unchanged.
K8Br2O3 (PBE, relaxed); space group = C2/m; DFT total energy = -3.3286 eV/atom
1.0
7.869 -4.160 0.000
7.869 4.160 0.000
-2.359 0.000 6.617
K Br O
8 2 3
Cartesian
0.426 0.000 2.643
6.104 2.392 0.786
7.275 2.392 5.831
5.042 0.000 3.502
8.336 0.000 3.115
6.104 -2.392 0.786
7.275 -2.392 5.831
12.953 0.000 3.974
2.371 0.000 5.533
11.007 0.000 1.084
0.000 0.000 0.000
6.689 2.011 3.309
6.689 -2.011 3.309